Na6Hg5H | PBE-GGA | optimized geometry

Structure (POSCAR):
```
Na6Hg5H
1.0
4.846 0.461 -1.457
-1.582 6.719 -3.124
0.007 -0.165 8.826
Na Hg H
6 5 1
direct
0.147 0.366 0.294 Na
0.147 0.929 0.294 Na
0.499 0.217 0.000 Na
0.501 0.783 0.000 Na
0.853 0.071 0.706 Na
0.853 0.634 0.706 Na
0.302 0.802 0.604 Hg
0.666 0.666 0.332 Hg
0.000 0.500 0.000 Hg
0.334 0.334 0.668 Hg
0.698 0.198 0.396 Hg
0.000 0.000 0.000 H
```

Output
For the density of states at the Fermi level, the calculation gives 3.9 states/eV per cell. The calculation puts the final energy at -14.68 eV/f.u. Its space-group type is C2/m (12).

NaHg2H4 | PBE-GGA | optimized geometry

Structure (POSCAR):
```
NaHg2H4
1.0
-0.251 4.813 1.385
-3.849 0.701 -3.137
-1.101 -3.957 4.474
Na Hg H
1 2 4
direct
0.500 0.500 0.000 Na
0.250 0.750 0.500 Hg
0.000 0.000 0.000 Hg
0.963 0.863 0.240 H
0.276 0.376 0.240 H
0.624 0.037 0.760 H
0.137 0.724 0.760 H
```

Output
For the density of states at the Fermi level, the calculation gives 1.8 states/eV per cell. The calculation puts the final energy at -13.58 eV/f.u. Its space-group type is I-4 (82).

NaHg5H | PBE-GGA | optimized geometry

Structure (POSCAR):
```
NaHg5H
1.0
-0.842 -5.057 0.961
-3.681 0.106 -7.406
8.168 -0.671 -1.109
Na Hg H
2 10 2
direct
0.750 0.343 0.657 Na
0.250 0.657 0.343 Na
0.765 0.633 0.038 Hg
0.699 0.390 0.264 Hg
0.265 0.038 0.633 Hg
0.750 0.101 0.899 Hg
0.801 0.736 0.610 Hg
0.199 0.264 0.390 Hg
0.250 0.899 0.101 Hg
0.735 0.962 0.367 Hg
0.301 0.610 0.736 Hg
0.235 0.367 0.962 Hg
0.000 0.000 0.000 H
0.500 0.000 0.000 H
```

Output
For the density of states at the Fermi level, the calculation gives 3.6 states/eV per cell. The calculation puts the final energy at -6.02 eV/f.u. Its space-group type is C2/c (15).

NaHgH2 | PBE-GGA | optimized geometry

Structure (POSCAR):
```
NaHgH2
1.0
0.000 2.987 2.987
2.987 0.000 2.987
2.987 2.987 0.000
Na Hg H
1 1 2
direct
0.000 0.000 0.000 Na
0.500 0.500 0.500 Hg
0.250 0.250 0.250 H
0.750 0.750 0.750 H
```

Output
For the density of states at the Fermi level, the calculation gives 0.6 states/eV per cell. The calculation puts the energy above the lowest structure with this stoichiometry at 0.178 eV/atom. Its space-group type is Fm-3m (225).

Na2HgH2 | PBE-GGA | optimized geometry

Structure (POSCAR):
```
Na2HgH2
1.0
-6.991 -2.698 -0.362
2.699 -7.000 0.050
-0.151 -0.036 3.178
Na Hg H
4 2 4
direct
0.367 0.867 0.000 Na
0.867 0.633 0.000 Na
0.633 0.133 0.000 Na
0.133 0.367 0.000 Na
0.000 0.000 0.000 Hg
0.500 0.500 0.000 Hg
0.139 0.639 0.500 H
0.639 0.861 0.500 H
0.861 0.361 0.500 H
0.361 0.139 0.500 H
```

Output
For the density of states at the Fermi level, the calculation gives 0.0 states/eV per cell. The calculation puts the energy above the lowest structure with this stoichiometry at 0.134 eV/atom. Its space-group type is P4/mbm (127).

NaHgH2 | PBE-GGA | optimized geometry

Structure (POSCAR):
```
NaHgH2
1.0
4.661 0.000 0.000
0.000 4.661 0.000
2.330 2.330 5.751
Na Hg H
2 2 4
direct
0.500 0.500 0.000 Na
0.250 0.750 0.500 Na
0.000 0.000 0.000 Hg
0.750 0.250 0.500 Hg
0.700 0.125 0.250 H
0.050 0.625 0.250 H
0.375 0.300 0.750 H
0.875 0.950 0.750 H
```

Output
For the density of states at the Fermi level, the calculation gives 1.1 states/eV per cell. The calculation puts the energy above the lowest structure with this stoichiometry at 0.000 eV/atom. Its space-group type is I-42d (122).

NaHg5H6 | PBE-GGA | optimized geometry

Structure (POSCAR):
```
NaHg5H6
1.0
-4.412 4.470 1.424
-2.464 -3.962 -4.683
2.846 -2.091 7.167
Na Hg H
1 5 6
direct
0.000 0.000 0.000 Na
0.286 0.777 0.619 Hg
0.696 0.653 0.289 Hg
0.000 0.500 0.000 Hg
0.304 0.347 0.711 Hg
0.714 0.223 0.381 Hg
0.294 0.571 0.355 H
0.208 0.880 0.166 H
0.306 0.005 0.896 H
0.694 0.995 0.104 H
0.792 0.120 0.834 H
0.706 0.429 0.645 H
```

Output
For the density of states at the Fermi level, the calculation gives 1.7 states/eV per cell. The calculation puts the final energy at -20.58 eV/f.u. Its space-group type is P-1 (2).

Na3Hg5H12 | PBE-GGA | optimized geometry

Structure (POSCAR):
```
Na3Hg5H12
1.0
11.225 0.000 0.000
-3.742 10.583 0.000
-3.742 -5.291 9.165
Na Hg H
12 20 48
direct
0.750 0.375 0.125 Na
0.875 0.750 0.125 Na
0.375 0.750 0.625 Na
0.250 0.125 0.375 Na
0.875 0.125 0.250 Na
0.375 0.625 0.250 Na
0.625 0.375 0.750 Na
0.125 0.875 0.750 Na
0.750 0.875 0.625 Na
0.625 0.250 0.375 Na
0.125 0.250 0.875 Na
0.250 0.625 0.875 Na
0.125 0.375 0.250 Hg
0.000 0.500 0.000 Hg
0.000 0.000 0.000 Hg
0.375 0.250 0.125 Hg
0.500 0.000 0.500 Hg
0.500 0.500 0.000 Hg
0.125 0.750 0.375 Hg
0.750 0.125 0.875 Hg
0.750 0.625 0.375 Hg
0.375 0.125 0.750 Hg
0.625 0.875 0.250 Hg
0.500 0.500 0.500 Hg
0.500 0.000 0.000 Hg
0.000 0.000 0.500 Hg
0.250 0.375 0.625 Hg
0.250 0.875 0.125 Hg
0.000 0.500 0.500 Hg
0.875 0.250 0.625 Hg
0.625 0.750 0.875 Hg
0.875 0.625 0.750 Hg
0.695 0.117 0.014 H
0.320 0.514 0.398 H
0.986 0.383 0.305 H
0.514 0.195 0.117 H
0.578 0.695 0.680 H
0.986 0.602 0.180 H
0.320 0.805 0.422 H
0.102 0.922 0.117 H
0.602 0.986 0.680 H
0.695 0.578 0.180 H
0.805 0.486 0.383 H
0.820 0.898 0.014 H
0.117 0.695 0.514 H
0.383 0.398 0.078 H
0.078 0.898 0.383 H
0.422 0.117 0.602 H
0.078 0.180 0.195 H
0.486 0.680 0.102 H
0.820 0.922 0.305 H
0.117 0.422 0.102 H
0.383 0.986 0.805 H
0.602 0.617 0.422 H
0.898 0.820 0.514 H
0.805 0.320 0.922 H
0.398 0.383 0.578 H
0.102 0.180 0.486 H
0.195 0.680 0.078 H
0.180 0.078 0.695 H
0.617 0.014 0.195 H
0.883 0.578 0.898 H
0.514 0.320 0.898 H
0.578 0.883 0.398 H
0.922 0.820 0.805 H
0.922 0.102 0.617 H
0.883 0.305 0.486 H
0.180 0.102 0.986 H
0.617 0.602 0.922 H
0.398 0.014 0.320 H
0.305 0.422 0.820 H
0.195 0.514 0.617 H
0.898 0.078 0.883 H
0.680 0.195 0.578 H
0.486 0.805 0.883 H
0.014 0.398 0.820 H
0.422 0.305 0.320 H
0.014 0.617 0.695 H
0.680 0.486 0.602 H
0.305 0.883 0.986 H
```

Output
For the density of states at the Fermi level, the calculation gives 4.9 states/eV per cell. The calculation puts the final energy at -41.50 eV/f.u. Its space-group type is Ia-3d (230).

Total moment values (in μB per formula unit) by entry order: 0.00 0.00 0.00 0.00 0.00 0.00 0.00 0.00.